1.
CsTaPd: relaxed, PBE-GGA.

Computed properties:
The space group is F-43m, No. 216. The raw total energy comes out at -10.87 eV for the cell shown. As for the crystal system: cubic.

Cell lengths 4.710, 4.710, 4.710 Å; angles 60.00, 60.00, 60.00 degrees
Fractional coordinates of all 3 atoms:
Cs (0.000, 0.000, 0.000)
Pd (0.250, 0.250, 0.250)
Ta (0.750, 0.750, 0.750)


2.
MgFe2Pb: relaxed, PBE-GGA.

Computed properties:
The space group is Pm-3m, No. 221. The raw total energy comes out at -79.53 eV for the cell shown. As for the crystal system: cubic.

Cell lengths 6.449, 6.449, 6.449 Å; angles 90.00, 90.00, 90.00 degrees
Each line ends with the local moment (μB).
Fractional coordinates of all 16 atoms:
Fe (0.269, 0.269, 0.269)  2.54
Fe (0.731, 0.269, 0.269)  2.52
Fe (0.269, 0.731, 0.269)  2.50
Fe (0.731, 0.731, 0.269)  2.50
Fe (0.269, 0.269, 0.731)  2.50
Fe (0.731, 0.269, 0.731)  2.50
Fe (0.269, 0.731, 0.731)  2.52
Fe (0.731, 0.731, 0.731)  2.54
Mg (0.500, 0.500, 0.000)  -0.04
Mg (0.500, 0.000, 0.500)  -0.03
Mg (0.000, 0.500, 0.500)  -0.03
Mg (0.500, 0.500, 0.500)  -0.03
Pb (0.000, 0.000, 0.000)  -0.01
Pb (0.500, 0.000, 0.000)  -0.05
Pb (0.000, 0.500, 0.000)  -0.02
Pb (0.000, 0.000, 0.500)  -0.04


3.
YAuSO: relaxed, PBE-GGA.

Computed properties:
The space group is Aem2, No. 39. The raw total energy comes out at -52.87 eV for the cell shown. As for the crystal system: orthorhombic.

Cell lengths 3.969, 3.969, 9.067 Å; angles 90.00, 90.00, 90.10 degrees
Fractional coordinates of all 8 atoms:
Au (0.873, 0.127, 0.500)
Au (0.373, 0.627, 0.500)
O (0.622, 0.378, 0.000)
O (0.122, 0.878, 0.000)
S (0.623, 0.877, 0.283)
S (0.123, 0.377, 0.717)
Y (0.122, 0.378, 0.122)
Y (0.622, 0.878, 0.878)


4.
AcPmNd: relaxed, PBE-GGA.

Computed properties:
The space group is F-43m, No. 216. As for the crystal system: cubic. The value obtained for the calculated formation energy is 0.657 eV per atom.

Cell lengths 5.712, 5.712, 5.712 Å; angles 60.00, 60.00, 60.00 degrees
Fractional coordinates of all 3 atoms:
Ac (0.250, 0.250, 0.250)
Nd (0.750, 0.750, 0.750)
Pm (0.000, 0.000, 0.000)


5.
MgAgBi: relaxed, PBE-GGA.

Computed properties:
The space group is P-62m, No. 189. The raw total energy comes out at -25.50 eV for the cell shown. As for the crystal system: hexagonal.

Cell lengths 7.535, 7.535, 4.440 Å; angles 90.00, 90.00, 120.00 degrees
Fractional coordinates of all 9 atoms:
Ag (0.251, 0.000, 0.000)
Ag (0.000, 0.251, 0.000)
Ag (0.749, 0.749, 0.000)
Bi (0.667, 0.333, 0.000)
Bi (0.333, 0.667, 0.000)
Bi (0.000, 0.000, 0.500)
Mg (0.578, 0.000, 0.500)
Mg (0.422, 0.422, 0.500)
Mg (0.000, 0.578, 0.500)


6.
LiSiNi2: relaxed, PBE-GGA.

Computed properties:
The space group is Pnma, No. 62. The raw total energy comes out at -79.78 eV for the cell shown. As for the crystal system: orthorhombic.

Cell lengths 4.702, 6.508, 6.496 Å; angles 90.00, 90.00, 90.00 degrees
Fractional coordinates of all 16 atoms:
Li (0.119, 0.750, 0.027)
Li (0.619, 0.250, 0.473)
Li (0.381, 0.750, 0.527)
Li (0.881, 0.250, 0.973)
Ni (0.609, 0.555, 0.173)
Ni (0.609, 0.945, 0.173)
Ni (0.109, 0.055, 0.327)
Ni (0.109, 0.445, 0.327)
Ni (0.891, 0.555, 0.673)
Ni (0.891, 0.945, 0.673)
Ni (0.391, 0.055, 0.827)
Ni (0.391, 0.445, 0.827)
Si (0.386, 0.250, 0.117)
Si (0.886, 0.750, 0.383)
Si (0.114, 0.250, 0.617)
Si (0.614, 0.750, 0.883)


7.
MgNiBMo: relaxed, PBE-GGA.

Computed properties:
The space group is F-43m, No. 216. The raw total energy comes out at -23.19 eV for the cell shown. As for the crystal system: cubic.

Cell lengths 4.123, 4.123, 4.123 Å; angles 60.00, 60.00, 60.00 degrees
Each line ends with the local moment (μB).
Fractional coordinates of all 4 atoms:
B (0.000, 0.000, 0.000)  0.03
Mg (0.250, 0.250, 0.250)  -0.01
Mo (0.750, 0.750, 0.750)  1.06
Ni (0.500, 0.500, 0.500)  0.30


8.
GdLuAl: relaxed, PBE-GGA.

Computed properties:
The space group is Pnma, No. 62. The raw total energy comes out at -55.21 eV for the cell shown. As for the crystal system: orthorhombic.

Cell lengths 6.499, 5.064, 9.404 Å; angles 90.00, 90.00, 90.00 degrees
Fractional coordinates of all 12 atoms:
Al (0.703, 0.250, 0.102)
Al (0.203, 0.250, 0.398)
Al (0.797, 0.750, 0.602)
Al (0.297, 0.750, 0.898)
Gd (0.192, 0.250, 0.074)
Gd (0.692, 0.250, 0.426)
Gd (0.308, 0.750, 0.574)
Gd (0.808, 0.750, 0.926)
Lu (0.474, 0.750, 0.213)
Lu (0.974, 0.750, 0.287)
Lu (0.026, 0.250, 0.713)
Lu (0.526, 0.250, 0.787)


9.
Sm3Al3GePd2: relaxed, PBE-GGA.

Computed properties:
The space group is P-62m, No. 189. The raw total energy comes out at -43.51 eV for the cell shown. As for the crystal system: hexagonal.

Cell lengths 7.690, 7.690, 4.052 Å; angles 90.00, 90.00, 120.00 degrees
Fractional coordinates of all 9 atoms:
Al (0.406, 0.000, 0.000)
Al (0.000, 0.406, 0.000)
Al (0.594, 0.594, 0.000)
Ge (0.000, 0.000, 0.000)
Pd (0.667, 0.333, 0.500)
Pd (0.333, 0.667, 0.500)
Sm (0.723, 0.000, 0.500)
Sm (0.277, 0.277, 0.500)
Sm (0.000, 0.723, 0.500)


10.
HoZrSi2: relaxed, PBE-GGA.

Computed properties:
The space group is P2_1/m, No. 11. The raw total energy comes out at -54.67 eV for the cell shown. As for the crystal system: monoclinic.

Cell lengths 5.506, 3.792, 7.437 Å; angles 90.00, 91.50, 90.00 degrees
Fractional coordinates of all 8 atoms:
Ho (0.875, 0.250, 0.319)
Ho (0.125, 0.750, 0.681)
Si (0.860, 0.750, 0.034)
Si (0.368, 0.250, 0.456)
Si (0.632, 0.750, 0.544)
Si (0.140, 0.250, 0.966)
Zr (0.384, 0.750, 0.177)
Zr (0.616, 0.250, 0.823)


11.
Nb2GaPd: relaxed, PBE-GGA.

Computed properties:
The space group is F-43m, No. 216. The raw total energy comes out at -28.46 eV for the cell shown. As for the crystal system: cubic.

Cell lengths 4.574, 4.574, 4.574 Å; angles 60.00, 60.00, 60.00 degrees
Each line ends with the local moment (μB).
Fractional coordinates of all 4 atoms:
Ga (0.500, 0.500, 0.500)  0.01
Nb (0.000, 0.000, 0.000)  0.13
Nb (0.750, 0.750, 0.750)  0.43
Pd (0.250, 0.250, 0.250)  0.06


12.
Tb2DyCu4Pb4: relaxed, PBE-GGA.

Computed properties:
The space group is Immm, No. 71. The raw total energy comes out at -46.55 eV for the cell shown. As for the crystal system: orthorhombic.

Cell lengths 8.630, 8.630, 8.630 Å; angles 149.23, 131.62, 58.44 degrees
Fractional coordinates of all 11 atoms:
Cu (0.642, 0.329, 0.313)
Cu (0.983, 0.671, 0.313)
Cu (0.017, 0.329, 0.687)
Cu (0.358, 0.671, 0.687)
Dy (0.000, 0.000, 0.000)
Pb (0.216, 0.216, 0.000)
Pb (0.784, 0.784, 0.000)
Pb (0.709, 0.500, 0.209)
Pb (0.291, 0.500, 0.791)
Tb (0.632, 0.132, 0.500)
Tb (0.368, 0.868, 0.500)


13.
DyNpMo: relaxed, PBE-GGA.

Computed properties:
The space group is F-43m, No. 216. As for the crystal system: cubic. The value obtained for the calculated formation energy is 0.786 eV per atom.

Cell lengths 4.697, 4.697, 4.697 Å; angles 60.00, 60.00, 60.00 degrees
Fractional coordinates of all 3 atoms:
Dy (0.250, 0.250, 0.250)
Mo (0.000, 0.000, 0.000)
Np (0.750, 0.750, 0.750)


14.
GaIr9: relaxed, PBE-GGA.

Computed properties:
The space group is P4/nmm, No. 129. The raw total energy comes out at -165.07 eV for the cell shown. As for the crystal system: tetragonal.

Cell lengths 2.739, 2.739, 51.421 Å; angles 90.00, 90.00, 90.00 degrees
Fractional coordinates of all 20 atoms:
Ga (0.000, 0.500, 0.142)
Ga (0.500, 0.000, 0.858)
Ir (0.500, 0.000, 0.181)
Ir (0.000, 0.500, 0.218)
Ir (0.500, 0.000, 0.255)
Ir (0.000, 0.500, 0.293)
Ir (0.500, 0.000, 0.331)
Ir (0.000, 0.500, 0.368)
Ir (0.500, 0.000, 0.406)
Ir (0.000, 0.500, 0.444)
Ir (0.500, 0.000, 0.481)
Ir (0.000, 0.500, 0.519)
Ir (0.500, 0.000, 0.556)
Ir (0.000, 0.500, 0.594)
Ir (0.500, 0.000, 0.632)
Ir (0.000, 0.500, 0.669)
Ir (0.500, 0.000, 0.707)
Ir (0.000, 0.500, 0.745)
Ir (0.500, 0.000, 0.782)
Ir (0.000, 0.500, 0.819)


15.
GdYAsO: relaxed, PBE-GGA.

Computed properties:
The space group is P4/nmm, No. 129. The raw total energy comes out at -56.24 eV for the cell shown. As for the crystal system: tetragonal.

Cell lengths 4.336, 4.336, 8.908 Å; angles 90.00, 90.00, 90.00 degrees
Fractional coordinates of all 8 atoms:
As (0.000, 0.500, 0.291)
As (0.500, 0.000, 0.709)
Gd (0.000, 0.000, 0.500)
Gd (0.500, 0.500, 0.500)
O (0.000, 0.000, 0.000)
O (0.500, 0.500, 0.000)
Y (0.500, 0.000, 0.099)
Y (0.000, 0.500, 0.901)


16.
HfFeCuAs: relaxed, PBE-GGA.

Computed properties:
The space group is F-43m, No. 216. The raw total energy comes out at -26.52 eV for the cell shown. As for the crystal system: cubic.

Cell lengths 4.428, 4.428, 4.428 Å; angles 60.00, 60.00, 60.00 degrees
Fractional coordinates of all 4 atoms:
As (0.000, 0.000, 0.000)
Cu (0.750, 0.750, 0.750)
Fe (0.500, 0.500, 0.500)
Hf (0.250, 0.250, 0.250)


17.
Zn2AgB: relaxed, PBE-GGA.

Computed properties:
The space group is F-43m, No. 216. The raw total energy comes out at -9.04 eV for the cell shown. As for the crystal system: cubic.

Cell lengths 4.282, 4.282, 4.282 Å; angles 60.00, 60.00, 60.00 degrees
Fractional coordinates of all 4 atoms:
Ag (0.250, 0.250, 0.250)
B (0.500, 0.500, 0.500)
Zn (0.000, 0.000, 0.000)
Zn (0.750, 0.750, 0.750)


18.
Li3Tm4Al: relaxed, PBE-GGA.

Computed properties:
The space group is Imm2, No. 44. The raw total energy comes out at -26.19 eV for the cell shown. As for the crystal system: orthorhombic.

Cell lengths 6.805, 6.805, 6.805 Å; angles 125.70, 77.85, 128.83 degrees
Each line ends with the local moment (μB).
Fractional coordinates of all 8 atoms:
Al (0.356, 0.356, 0.000)  0.00
Li (0.819, 0.580, 0.240)  0.01
Li (0.301, 0.801, 0.500)  0.00
Li (0.340, 0.580, 0.760)  0.01
Tm (0.828, 0.070, 0.242)  0.04
Tm (0.341, 0.089, 0.252)  0.05
Tm (0.837, 0.089, 0.748)  0.05
Tm (0.828, 0.586, 0.758)  0.04


19.
LaPrTlFe2: relaxed, PBE-GGA.

Computed properties:
The space group is Amm2, No. 38. The raw total energy comes out at -28.98 eV for the cell shown. As for the crystal system: orthorhombic.

Cell lengths 4.069, 7.513, 7.513 Å; angles 30.71, 90.00, 90.00 degrees
Each line ends with the local moment (μB).
Fractional coordinates of all 5 atoms:
Fe (0.000, 0.208, 0.208)  1.74
Fe (0.000, 0.791, 0.791)  1.85
La (0.500, 0.638, 0.638)  -0.17
Pr (0.500, 0.364, 0.364)  -0.19
Tl (0.000, 0.999, 0.999)  -0.03


20.
BaAgO3: relaxed, PBE-GGA.

Computed properties:
The space group is P4mm, No. 99. The raw total energy comes out at -24.58 eV for the cell shown. As for the crystal system: tetragonal.

Cell lengths 4.137, 4.137, 4.197 Å; angles 90.00, 90.00, 90.00 degrees
Fractional coordinates of all 5 atoms:
Ag (0.500, 0.500, 0.572)
Ba (0.000, 0.000, 0.077)
O (0.500, 0.500, 0.075)
O (0.500, 0.000, 0.588)
O (0.000, 0.500, 0.588)